No. 1
Na2TbC2O6 GGA-PBE relaxed; E_tot = -6.900 eV per atom; raw formation energy = -1.858 eV per atom; symmetry = P-3
1.0
5.179 0.000 0.000
-2.589 4.485 0.000
0.000 0.000 7.706
Na Tb C O
2 1 2 6
Cartesian
0.000 2.990 2.561
2.589 1.495 5.146
0.000 0.000 0.000
0.000 2.990 6.430
2.589 1.495 1.276
-0.534 1.807 6.408
-0.758 4.043 6.408
1.298 1.365 1.298
1.291 3.119 6.408
3.347 0.441 1.298
3.123 2.678 1.298

No. 2
Na2TcCO GGA-PBE relaxed; E_tot = -4.720 eV per atom; raw formation energy = 0.717 eV per atom; symmetry = P4/mmm
1.0
4.251 0.000 0.000
0.000 4.251 0.000
0.000 0.000 3.921
Na Tc C O
2 1 1 1
Cartesian
0.000 2.125 0.000
2.125 0.000 0.000
0.000 0.000 1.960
2.125 2.125 1.960
0.000 0.000 0.000

No. 3
NaTcCO5 GGA-PBE relaxed; E_tot = -6.994 eV per atom; raw formation energy = -1.281 eV per atom; symmetry = C2/c
1.0
3.184 -4.102 0.000
3.184 4.102 0.000
-3.180 0.000 6.350
Na Tc C O
2 2 2 10
Cartesian
0.799 2.776 4.762
2.389 -2.776 1.587
3.184 0.000 0.000
1.594 0.000 3.175
2.389 2.566 1.587
0.799 -2.566 4.762
-1.789 0.662 5.718
1.412 1.814 2.253
-0.199 -0.662 2.543
3.367 1.814 0.922
0.799 0.562 4.762
2.389 -0.562 1.587
-0.178 -1.814 5.428
3.387 0.662 3.807
1.777 -1.814 4.097
4.977 -0.662 0.632

No. 4
NaTeCO2 GGA-PBE relaxed; E_tot = -3.059 eV per atom; raw formation energy = 1.661 eV per atom; symmetry = P4/mmm
1.0
3.967 0.000 0.000
0.000 3.967 0.000
0.000 0.000 6.260
Na Te C O
1 1 1 2
Cartesian
0.000 0.000 0.000
0.000 0.000 3.130
1.984 1.984 3.130
0.000 1.984 0.000
1.984 0.000 0.000

| no. | calculated density (g/cm3) |
| --- | --- |
| 1 | 3.0 |
| 2 | 4.0 |
| 3 | 4.3 |
| 4 | 3.3 |